Record 1
Here is a geometry-optimized BaMg2N2 structure from Alexandria. Energies are from PBE.

Magnetization: 0.0 μB/f.u.
Energy relative to the elements, uncorrected: -0.569 eV per atom
Space-group type: C2/m

abc: 3.7299 4.0370 6.6802
angles: 106.97 73.79 90.00
Fractional coordinates of all 5 atoms:
Mg  0.7304  0.2695  0.5393
N  0.6721  0.8255  0.6557
Mg  0.2696  0.7305  0.4607
Ba  0.0000  0.0000  0.0000
N  0.3278  0.1745  0.3443

Record 2
Here is a geometry-optimized SmIn2IrO8 structure from Alexandria. Energies are from PBE.

Magnetization: 2.2 μB/f.u.
Energy relative to the elements, uncorrected: -1.457 eV per atom
Space-group type: P2/m

abc: 4.9607 4.9520 6.7232
angles: 90.00 90.00 90.62
Last column: magnetic moment on the atom in μB.
Fractional coordinates of all 12 atoms:
O  0.2840  0.2813  0.0000  0.02
O  0.6816  0.6857  0.5000  0.10
Ir  0.0000  0.0000  0.0000  0.96
O  0.3184  0.3143  0.5000  0.10
O  0.1860  0.8111  0.2076  0.17
O  0.1860  0.8111  0.7924  0.17
Sm  0.0000  0.0000  0.5000  0.01
O  0.8140  0.1889  0.2076  0.17
In  0.5000  0.5000  0.7542  0.01
In  0.5000  0.5000  0.2458  0.01
O  0.8140  0.1889  0.7924  0.17
O  0.7160  0.7187  0.0000  0.02

Record 3
Here is a geometry-optimized Rb2CaPmBr6 structure from Alexandria. Energies are from PBE.

Magnetization: 0.9 μB/f.u.
Energy relative to the elements, uncorrected: -1.730 eV per atom
Space-group type: Pmmn

abc: 8.1826 8.1705 11.5682
angles: 90.00 90.00 90.00
Last column: magnetic moment on the atom in μB.
Fractional coordinates of all 20 atoms:
Rb  0.5000  0.7510  0.2456  0.00
Ca  0.5000  0.2488  0.0000  0.06
Rb  0.5000  0.7510  0.7544  0.00
Pm  0.5000  0.2513  0.5000  0.41
Br  0.2473  0.0005  0.5000  0.00
Pm  0.0000  0.7487  0.0000  0.41
Br  0.2480  0.5026  0.5000  0.00
Rb  0.0000  0.2490  0.2544  0.00
Br  0.7527  0.0005  0.5000  0.00
Br  0.7480  0.4974  0.0000  0.00
Rb  0.0000  0.2490  0.7456  0.00
Ca  0.0000  0.7512  0.5000  0.06
Br  0.5000  0.2493  0.7517  0.00
Br  0.2520  0.4974  0.0000  0.00
Br  0.0000  0.7507  0.7483  0.00
Br  0.7473  0.9995  0.0000  0.00
Br  0.7520  0.5026  0.5000  0.00
Br  0.5000  0.2493  0.2483  0.00
Br  0.2527  0.9995  0.0000  0.00
Br  0.0000  0.7507  0.2517  0.00

Record 4
Here is a geometry-optimized Cs3Nd2ThTe6 structure from Alexandria. Energies are from PBE.

Magnetization: 0.0 μB/f.u.
Energy relative to the elements, uncorrected: -1.338 eV per atom
Space-group type: C2/m

abc: 8.0115 8.0115 9.4024
angles: 98.16 98.16 119.99
Fractional coordinates of all 12 atoms:
Te  0.6058  0.9345  0.8032
Nd  0.3336  0.6664  0.0000
Te  0.9345  0.6058  0.8032
Cs  0.1684  0.8316  0.5000
Cs  0.8316  0.1684  0.5000
Te  0.7374  0.7374  0.1975
Th  0.0000  0.0000  0.0000
Te  0.3942  0.0655  0.1968
Te  0.0655  0.3942  0.1968
Te  0.2626  0.2626  0.8025
Cs  0.5000  0.5000  0.5000
Nd  0.6664  0.3336  0.0000

Record 5
Here is a geometry-optimized Sb2TeIrS structure from Alexandria. Energies are from PBE.

Magnetization: 0.0 μB/f.u.
Energy relative to the elements, uncorrected: 0.649 eV per atom
Space-group type: P4/mmm

abc: 5.1576 5.1576 5.2779
angles: 90.00 90.00 90.00
Fractional coordinates of all 5 atoms:
Ir  0.0000  0.0000  0.0000
Sb  0.0000  0.5000  0.0000
Sb  0.5000  0.0000  0.0000
Te  0.0000  0.0000  0.5000
S  0.5000  0.5000  0.5000

Record 6
Here is a geometry-optimized Ba2TcW structure from Alexandria. Energies are from PBE.

Uncorrected energy: -4.993 eV per atom
Magnetization: 4.8 μB/f.u.
Space-group type: Fm-3m

abc: 5.4784 5.4784 5.4784
angles: 60.00 60.00 60.00
Last column: magnetic moment on the atom in μB.
Fractional coordinates of all 4 atoms:
Ba  0.2500  0.2500  0.2500  0.03
Ba  0.7500  0.7500  0.7500  0.03
Tc  0.0000  0.0000  0.0000  1.87
W  0.5000  0.5000  0.5000  2.03

Record 7
Here is a geometry-optimized Ir2RhBr structure from Alexandria. Energies are from PBE.

Magnetization: 0.0 μB/f.u.
Energy relative to the elements, uncorrected: 0.704 eV per atom
Space-group type: C2/m

abc: 5.4775 5.4775 4.3402
angles: 86.46 86.46 30.15
Fractional coordinates of all 4 atoms:
Ir  0.5353  0.5353  0.4897
Br  0.7500  0.7500  0.7500
Rh  0.2500  0.2500  0.2500
Ir  0.9647  0.9647  0.0103

Record 8
Here is a geometry-optimized LiCeHg structure from Alexandria. Energies are from PBE.

Uncorrected energy: -2.848 eV per atom
Magnetization: 0.3 μB/f.u.
Space-group type: R-3m

abc: 4.9269 4.9269 7.6376
angles: 71.18 71.18 60.00
Last column: magnetic moment on the atom in μB.
Fractional coordinates of all 6 atoms:
Hg  0.4222  0.4222  0.7334  -0.01
Hg  0.5778  0.5778  0.2666  -0.01
Ce  0.8591  0.8591  0.4227  0.32
Li  0.7046  0.7046  0.8863  0.00
Li  0.2954  0.2954  0.1137  0.00
Ce  0.1409  0.1409  0.5773  0.32

Record 9
Here is a geometry-optimized Zr5Sb2H structure from Alexandria. Energies are from PBE.

Uncorrected energy: -7.162 eV per atom
Magnetization: 0.0 μB/f.u.
Space-group type: I4mm

abc: 6.4014 6.4014 6.1404
angles: 121.46 121.46 89.97
Fractional coordinates of all 8 atoms:
Zr  0.7515  0.7515  0.0054
Zr  0.7506  0.7506  0.5013
Sb  0.2515  0.7514  0.5029
Zr  0.2538  0.7514  0.0052
H  0.0130  0.0130  0.0261
Zr  0.7514  0.2538  0.0052
Zr  0.2538  0.2538  0.0051
Sb  0.7514  0.2515  0.5029

Record 10
Here is a geometry-optimized LiPrZnPd3 structure from Alexandria. Energies are from PBE.

Uncorrected energy: -4.405 eV per atom
Magnetization: 0.0 μB/f.u.
Space-group type: Cmcm

abc: 5.9035 5.8648 6.9686
angles: 114.89 90.00 90.00
Fractional coordinates of all 12 atoms:
Pd  0.0000  0.7411  0.0000
Li  0.2500  0.9064  0.8129
Pd  0.7500  0.8374  0.6748
Pd  0.5000  0.7411  0.0000
Pr  0.7500  0.3193  0.6387
Zn  0.7500  0.6329  0.2657
Zn  0.2500  0.3671  0.7343
Pd  0.5000  0.2589  0.0000
Pd  0.0000  0.2589  0.0000
Pr  0.2500  0.6807  0.3613
Pd  0.2500  0.1626  0.3252
Li  0.7500  0.0936  0.1871

no.,calculated density (kg/m3)
1,3861
2,7040
3,3587
4,5582
5,7042
6,7948
7,14430
8,7748
9,6851
10,8080